Here is an optimized crystal structure of ErAgS2 from OQMD via LeMat-Bulk. Energies are from PBE-GGA.

Structure (POSCAR):
```
ErAgS2
1.0
-5.653 -4.328 2.134
-3.359 2.655 6.076
1.909 3.045 -6.506
S Ag Er
4 2 2
direct
0.127 0.125 0.502
0.875 0.377 0.002
0.623 0.625 0.498
0.375 0.873 0.998
0.000 0.000 0.000
0.750 0.250 0.500
0.500 0.500 0.000
0.250 0.750 0.500
```

## Properties
E_tot in eV per atom: -5.09
SG: No. 122

=====

Here is an optimized crystal structure of TbGdTc from OQMD via LeMat-Bulk. Energies are from PBE-GGA.

Structure (POSCAR):
```
TbGdTc
1.0
-3.397 -0.831 3.253
-4.387 1.785 -0.619
-3.639 -2.914 -1.038
Tb Gd Tc
1 1 1
direct
0.250 0.250 0.250
0.000 0.000 0.000
0.750 0.750 0.750
```

## Properties
E_form in meV/atom: 948
SG: No. 216

=====

Here is an optimized crystal structure of TlTe2Pd2 from OQMD via LeMat-Bulk. Energies are from PBE-GGA.

Structure (POSCAR):
```
TlTe2Pd2
1.0
-2.443 2.443 5.197
2.443 -2.443 5.197
2.443 2.443 -5.197
Te Pd Tl
2 2 1
direct
0.250 0.750 0.500
0.750 0.250 0.500
0.644 0.644 0.000
0.356 0.356 0.000
0.000 0.000 0.000
```

## Properties
E_tot in eV per atom: -3.96
SG: No. 139

=====

Here is an optimized crystal structure of CsLuTe3Pt from OQMD via LeMat-Bulk. Energies are from PBE-GGA.

Structure (POSCAR):
```
CsLuTe3Pt
1.0
9.631 0.000 0.000
0.000 4.552 0.000
-4.208 0.000 9.600
Te Cs Pt Lu
6 2 2 2
direct
0.131 0.250 0.478
0.718 0.750 0.110
0.869 0.750 0.522
0.830 0.250 0.817
0.170 0.750 0.183
0.282 0.250 0.890
0.472 0.750 0.712
0.528 0.250 0.288
0.997 0.750 0.338
0.003 0.250 0.662
0.932 0.250 0.137
0.068 0.750 0.863
```

## Properties
Energy relative to the lowest polymorph listed for this composition in kJ/mol of atoms: 0.0
SG: No. 11

=====

Here is an optimized crystal structure of DyErPO from OQMD via LeMat-Bulk. Energies are from PBE-GGA.

Structure (POSCAR):
```
DyErPO
1.0
4.137 0.000 0.000
0.000 7.431 0.000
0.000 0.000 5.674
P Dy O Er
2 2 2 2
direct
0.000 0.337 0.433
0.000 0.663 0.933
0.000 0.704 0.439
0.000 0.296 0.939
0.500 0.831 0.383
0.500 0.169 0.883
0.500 0.122 0.498
0.500 0.878 0.998
```

## Properties
Energy relative to the lowest polymorph listed for this composition in kJ/mol of atoms: 0.0
SG: No. 26

=====

Here is an optimized crystal structure of Nd2In from OQMD via LeMat-Bulk. Energies are from PBE-GGA.

Structure (POSCAR):
```
Nd2In
1.0
2.198 -0.334 6.040
-4.095 -0.996 4.865
0.011 -5.633 3.114
Nd In
4 2
direct
0.625 0.125 0.625
0.125 0.625 0.625
0.625 0.625 0.125
0.625 0.625 0.625
0.250 0.250 0.250
0.000 0.000 0.000
```

## Properties
E_tot in eV per atom: -3.98
SG: No. 227

=====

Here is an optimized crystal structure of Zn2AsO4 from OQMD via LeMat-Bulk. Energies are from PBE-GGA.

Structure (POSCAR):
```
Zn2AsO4
1.0
-2.742 0.308 -5.373
4.971 -3.365 0.665
-5.190 -1.744 2.550
As Zn O
2 4 8
direct
0.750 0.500 0.250
0.000 0.000 0.000
0.375 0.250 0.625
0.375 0.750 0.625
0.375 0.750 0.125
0.875 0.250 0.625
0.623 0.247 0.377
0.127 0.253 0.873
0.623 0.753 0.377
0.620 0.747 0.873
0.623 0.247 0.870
0.127 0.747 0.873
0.130 0.753 0.377
0.127 0.253 0.380
```

## Properties
E_tot in eV per atom: -5.02
SG: No. 227

=====

Here is an optimized crystal structure of NaAgTeWS2 from OQMD via LeMat-Bulk. Energies are from PBE-GGA.

Structure (POSCAR):
```
NaAgTeWS2
1.0
2.701 2.340 6.690
-5.540 -2.101 -4.734
1.199 -9.775 2.935
Na Te S Ag W
2 2 4 2 2
direct
0.270 0.730 0.250
0.730 0.270 0.750
0.408 0.592 0.750
0.592 0.408 0.250
0.882 0.118 0.030
0.118 0.882 0.970
0.118 0.882 0.530
0.882 0.118 0.470
0.061 0.939 0.750
0.939 0.061 0.250
0.500 0.500 0.500
0.500 0.500 0.000
```

## Properties
E_tot in eV per atom: -4.96
SG: No. 63

=====

Here is an optimized crystal structure of Co2TeS from OQMD via LeMat-Bulk. Energies are from PBE-GGA.

Structure (POSCAR):
```
Co2TeS
1.0
1.774 -3.073 0.000
1.774 3.073 0.000
0.000 0.000 12.782
Co S Te
4 2 2
direct
0.333 0.667 0.943
0.667 0.333 0.057
0.667 0.333 0.443
0.333 0.667 0.557
0.000 0.000 0.500
0.000 0.000 0.000
0.331 0.669 0.750
0.669 0.331 0.250
```

## Properties
E_tot in eV per atom: -5.44
SG: No. 63

=====

Here is an optimized crystal structure of BeCoMoAs from OQMD via LeMat-Bulk. Energies are from PBE-GGA.

Structure (POSCAR):
```
BeCoMoAs
1.0
3.881 -1.295 0.358
0.777 -3.870 1.132
1.534 -2.667 -2.721
As Mo Be Co
1 1 1 1
direct
0.000 0.000 0.000
0.250 0.250 0.250
0.500 0.500 0.500
0.750 0.750 0.750
```

## Properties
Energy relative to the lowest polymorph listed for this composition in kJ/mol of atoms: 0.0
SG: No. 216

=====

Here is an optimized crystal structure of LiMo3S5 from OQMD via LeMat-Bulk. Energies are from PBE-GGA.

Structure (POSCAR):
```
LiMo3S5
1.0
-5.221 -1.036 1.809
2.286 -3.232 -3.991
2.531 -4.235 4.880
Mo S Li
3 5 1
direct
0.000 0.500 0.500
0.500 0.500 0.500
0.500 0.000 0.500
0.333 0.667 0.762
0.667 0.333 0.238
0.000 0.000 0.500
0.667 0.333 0.762
0.333 0.667 0.238
0.000 0.000 0.000
```

## Properties
E_tot in eV per atom: -6.42
SG: No. 191

=====

Here is an optimized crystal structure of LaSiPt3 from OQMD via LeMat-Bulk. Energies are from PBE-GGA.

Structure (POSCAR):
```
LaSiPt3
1.0
4.155 0.000 0.000
0.000 4.155 0.000
0.000 0.000 5.504
Pt La Si
3 1 1
direct
0.500 0.500 0.138
0.000 0.500 0.492
0.500 0.000 0.492
0.000 0.000 0.994
0.500 0.500 0.716
```

## Properties
E_tot in eV per atom: -6.80
SG: No. 99